VASP calculation (PBE) on Cs4PuCl5 after structural relaxation.

Results
Its final energy is -4.37 eV/atom. The value obtained for the magnetic moment is 0.661 μB/atom. For the formation energy from raw total energies, the calculation gives -38.46 kcal/mol of atoms. As for the symmetry: No. 79.

Cell: 7.6294 8.4178 8.4178 Å, 78.15 63.05 63.05°
Atoms (fractional coordinates):
Cs 0.4332 0.3806 0.7994
Cs 0.8138 0.7994 0.6194
Cs 0.6132 0.6194 0.2006
Cs 0.2326 0.2006 0.3806
Pu 0.0083 0.0000 0.0000
Cl 0.3715 0.0000 0.0000
Cl 0.7456 0.1788 0.3488
Cl 0.9244 0.3488 0.8212
Cl 0.2732 0.8212 0.6512
Cl 0.0944 0.6512 0.1788